Material: Tm2ScGa6
Method: DFT, PBE
State: optimized geometry

Unit cell a=7.788 b=7.788 c=7.788 alpha=148.69 beta=128.67 gamma=61.37
Sites, in units of the cell vectors:
Tm: 0.123 0.123 0.000
Tm: 0.877 0.877 0.000
Sc: 0.500 0.000 0.500
Ga: 0.120 0.313 0.807
Ga: 0.202 0.500 0.702
Ga: 0.494 0.687 0.807
Ga: 0.506 0.313 0.193
Ga: 0.798 0.500 0.298
Ga: 0.880 0.687 0.193

E_form	-0.42	eV/atom
total moment	0.0	μB/f.u.
SG	No. 71
calculated volume	189.9	Å³ per cell
energy above the lowest structure with this stoichiometry	3.52	kcal/mol of atoms

=====

Material: SrZr2Zn
Method: DFT, PBE
State: optimized geometry

Unit cell a=4.521 b=4.521 c=4.780 alpha=90.00 beta=90.00 gamma=90.00
Sites, in units of the cell vectors:
Sr: 0.000 0.000 0.000
Zr: 0.000 0.500 0.500
Zr: 0.500 0.000 0.500
Zn: 0.500 0.500 0.000

E_form	0.39	eV/atom
total moment	0.0	μB/f.u.
SG	No. 123
calculated volume	97.7	Å³ per cell

=====

Material: Ge2Au2C
Method: DFT, PBE
State: optimized geometry

Unit cell a=5.655 b=5.655 c=5.248 alpha=90.00 beta=90.00 gamma=90.00
Sites, in units of the cell vectors:
Ge: 0.162 0.338 0.000
Ge: 0.338 0.838 0.000
Ge: 0.662 0.162 0.000
Ge: 0.838 0.662 0.000
Au: 0.187 0.687 0.500
Au: 0.313 0.187 0.500
Au: 0.687 0.813 0.500
Au: 0.813 0.313 0.500
C: 0.000 0.000 0.000
C: 0.500 0.500 0.000

E_form	0.84	eV/atom
total moment	0.0	μB/f.u.
SG	No. 127
calculated volume	167.8	Å³ per cell
energy above the lowest structure with this stoichiometry	0.00	kcal/mol of atoms

=====

Material: BaCuAu2
Method: DFT, PBE
State: optimized geometry

Unit cell a=3.594 b=3.594 c=7.165 alpha=90.00 beta=90.00 gamma=90.00
Sites, in units of the cell vectors:
Ba: 0.000 0.000 0.000
Cu: 0.000 0.000 0.500
Au: 0.500 0.500 0.311
Au: 0.500 0.500 0.689

E_form	-0.22	eV/atom
total moment	0.0	μB/f.u.
SG	No. 123
calculated volume	92.5	Å³ per cell
energy above the lowest structure with this stoichiometry	5.26	kcal/mol of atoms

=====

Material: Ce4Se5
Method: DFT, PBE
State: optimized geometry

Unit cell a=8.493 b=8.493 c=8.493 alpha=154.10 beta=115.49 gamma=70.74
Sites, in units of the cell vectors:
Ce: 0.069 0.866 0.203
Ce: 0.337 0.134 0.203
Ce: 0.663 0.866 0.797
Ce: 0.931 0.134 0.797
Se: 0.000 0.500 0.500
Se: 0.256 0.756 0.500
Se: 0.348 0.500 0.848
Se: 0.652 0.500 0.152
Se: 0.744 0.244 0.500

raw formation energy	-1421	meV per atom
total moment	6.2	μB/f.u.
SG	No. 71
calculated volume	239.1	Å³ per cell

=====

Material: Tb4Si2Sb
Method: DFT, PBE
State: optimized geometry

Unit cell a=8.086 b=8.086 c=8.086 alpha=109.45 beta=109.45 gamma=109.51
Sites, in units of the cell vectors:
Tb: 0.208 0.277 0.569
Tb: 0.208 0.639 0.931
Tb: 0.277 0.208 0.069
Tb: 0.361 0.792 0.569
Tb: 0.639 0.208 0.431
Tb: 0.723 0.792 0.931
Tb: 0.792 0.361 0.069
Tb: 0.792 0.723 0.431
Si: 0.000 0.500 0.500
Si: 0.500 0.000 0.000
Si: 0.500 0.500 0.000
Si: 0.500 0.500 0.500
Sb: 0.125 0.875 0.250
Sb: 0.875 0.125 0.750

raw formation energy	-635	meV per atom
total moment	0.0	μB/f.u.
SG	No. 141
calculated volume	407.0	Å³ per cell